Here is a relaxed structure of LaTmPd from Alexandria. Energies are from PBE-GGA.

Summary:
density of states at the Fermi level: 3.234 states/eV/f.u.
crystal system: tetragonal
energy of formation: -0.5373 eV/atom
total moment: 0.00 μB/cell
V: 27.03 Å³/atom
theoretical density: 8.485 g/cm³

Geometry as CIF:
```
data_LaTmPd
_chemical_formula_sum 'La2 Tm2 Pd2'
_cell_length_a 3.588
_cell_length_b 3.588
_cell_length_c 12.596
_cell_angle_alpha 90.00
_cell_angle_beta 90.00
_cell_angle_gamma 90.00
_symmetry_space_group_name_H-M 'I 4 m m'
_symmetry_Int_Tables_number 107
_symmetry_space_group_name_Hall 'I 4 -2'
loop_
_atom_site_label
_atom_site_fract_x
_atom_site_fract_y
_atom_site_fract_z
_atom_site_occupancy
La1 0.000 0.000 0.000 1
Tm1 0.000 0.000 0.274 1
Pd1 0.000 0.000 0.661 1
```